# 1
Below is a relaxed TaCrSe3 crystal, with properties calculated at the PBE-GGA level.

a b c (Å): 5.041 5.041 5.041
angles (deg): 90.00 90.00 90.00
Space group Pm-3m (No. 221)
Inequivalent atoms, fractional coordinates:
Ta1 0.000 0.000 0.000 (multiplicity 1)
Cr1 0.500 0.500 0.500 (multiplicity 1)
Se1 0.000 0.000 0.500 (multiplicity 3)


# 2
Below is a relaxed Ta2CrSe crystal, with properties calculated at the PBE-GGA level.

a b c (Å): 3.305 4.300 4.605
angles (deg): 90.00 90.00 90.00
Space group Pmmm (No. 47)
Inequivalent atoms, fractional coordinates:
Ta1 0.000 0.000 0.000 (multiplicity 1)
Ta2 0.500 0.000 0.500 (multiplicity 1)
Cr1 0.000 0.500 0.500 (multiplicity 1)
Se1 0.500 0.500 0.000 (multiplicity 1)


| no. | N(E_F) (states/eV/atom) | E_form (uncorrected) (meV per atom) |
| --- | --- | --- |
| 1 | 1.021 | 149 |
| 2 | 0.771 | 181 |